A plane-wave DFT calculation with PBE-GGA was carried out for a geometry-optimized LiNi2PdN structure.

## Properties
E ... -5.53 eV/atom
Fermi-level density of states ... 5.3 states/eV/f.u.
Formation energy from raw total energies ... -62 kJ/mol of formula units

a = 3.6919 Å, b = 3.6919 Å, c = 4.2764 Å
α = 90.00°, β = 90.00°, γ = 90.00°
With the nearest neighbours (Å) after each atom.
Sites, in units of the cell vectors:
1 Li 0.0000 0.0000 0.0000  4 Pd 2.61, 8 Ni 2.82
2 Ni 0.0000 0.5000 0.5000  2 N 1.85
3 Ni 0.5000 0.0000 0.5000  2 N 1.85
4 Pd 0.5000 0.5000 0.0000  2 N 2.14
5 N 0.5000 0.5000 0.5000  4 Ni 1.85